[1]
Density functional theory data (PBE-GGA) for Na8CdIn2 after structural relaxation.

Cell: 12.4754 11.6242 5.5604 Å, 90.00 103.44 90.00°
With the nearest neighbours (Å) after each atom.
Space group C2/m (No. 12)
Symmetry-distinct sites (fractional):
Na: 0.0926 0.0000 0.3000 (multiplicity 4)  4 Na 3.27-3.59, 1 In 3.42
Na: 0.0970 0.2578 0.7986 (multiplicity 8)  1 In 3.23, 1 Cd 3.36, 1 Na 3.47
Na: 0.2409 0.0000 0.8864 (multiplicity 4)  1 Cd 3.15, 2 In 3.17-3.27, 4 Na 3.27-3.47
Cd: 0.0000 0.5000 0.0000 (multiplicity 2)  4 In 3.02-3.32, 6 Na 3.15-3.36
In: 0.1256 0.5000 0.5341 (multiplicity 4)  2 Cd 3.02-3.32, 1 In 3.07, 4 Na 3.17-3.27

Calculated values
Magnetic moment in μB/cell: 0.0
Crystal system: monoclinic
E above lowest polymorph in meV per atom: 96
Fermi-level density of states in states/eV/cell: 11.74

=====

[2]
Density functional theory data (PBE-GGA) for LiNiSe2Br after structural relaxation.

Cell: 4.4805 4.4805 7.0823 Å, 90.00 90.00 90.00°
With the nearest neighbours (Å) after each atom.
Space group P4/mmm (No. 123)
Symmetry-distinct sites (fractional):
Li: 0.0000 0.0000 0.0000 (multiplicity 1)  4 Br 3.17
Ni: 0.5000 0.5000 0.5000 (multiplicity 1)  4 Se 2.24
Se: 0.0000 0.5000 0.5000 (multiplicity 2)  2 Ni 2.24
Br: 0.5000 0.5000 0.0000 (multiplicity 1)  4 Li 3.17, 2 Ni 3.54

Calculated values
Magnetic moment in μB/cell: 1.8
Crystal system: tetragonal
E_form (uncorrected) in meV per atom: -174
E above lowest polymorph in meV per atom: 0
Fermi-level density of states in states/eV/cell: 2.86

=====

[3]
Density functional theory data (PBE-GGA) for Pr2Zn2CdNi5 after structural relaxation.

Cell: 9.5811 9.5811 3.6729 Å, 90.00 90.00 90.00°
With the nearest neighbours (Å) after each atom.
Space group P4/mbm (No. 127)
Symmetry-distinct sites (fractional):
Pr: 0.1828 0.3172 0.0000 (multiplicity 4)  3 Zn 2.77-2.91, 6 Ni 3.08
Zn: 0.1125 0.6125 0.0000 (multiplicity 4)  6 Ni 2.39-2.50
Cd: 0.0000 0.0000 0.0000 (multiplicity 2)  8 Ni 2.84
Ni: 0.0000 0.5000 0.5000 (multiplicity 2)  4 Zn 2.39
Ni: 0.0621 0.7825 0.5000 (multiplicity 8)  2 Zn 2.50, 1 Ni 2.77

Calculated values
Uncorrected energy in eV per atom: -4.34
Magnetic moment in μB/cell: 0.0
Crystal system: tetragonal
Fermi-level density of states in states/eV/cell: 10.35

=====

[4]
Density functional theory data (PBE-GGA) for Pm14ErPb after structural relaxation.

Cell: 7.2139 7.2139 10.2459 Å, 90.00 90.00 90.00°
With the nearest neighbours (Å) after each atom.
Space group P4/mmm (No. 123)
Symmetry-distinct sites (fractional):
Pm: 0.0000 0.0000 0.0000 (multiplicity 1)  12 Pm 3.61-3.64
Pm: 0.0000 0.5000 0.0000 (multiplicity 2)  12 Pm 3.61-3.65
Pm: 0.0000 0.5000 0.5000 (multiplicity 2)  8 Pm 3.58, 2 Pb 3.61, 2 Er 3.61
Pm: 0.2493 0.2493 0.2544 (multiplicity 8)  1 Pb 3.58, 10 Pm 3.58-3.65, 1 Er 3.59
Pm: 0.5000 0.5000 0.0000 (multiplicity 1)  12 Pm 3.61-3.65
Er: 0.5000 0.5000 0.5000 (multiplicity 1)  12 Pm 3.59-3.61
Pb: 0.0000 0.0000 0.5000 (multiplicity 1)  12 Pm 3.58-3.61

Calculated values
Uncorrected energy in eV per atom: -4.72
Magnetic moment in μB/cell: 0.0
Crystal system: tetragonal
Fermi-level density of states in states/eV/cell: 22.30

=====

[5]
Density functional theory data (PBE-GGA) for Ac6TlPt4 after structural relaxation.

Cell: 4.3980 14.8503 22.6767 Å, 90.00 90.00 90.00°
With the nearest neighbours (Å) after each atom.
Space group Cmcm (No. 63)
Symmetry-distinct sites (fractional):
Ac: 0.0000 0.0000 0.0000 (multiplicity 4)  6 Pt 3.14-3.15
Ac: 0.0000 0.1639 0.2500 (multiplicity 4)  2 Pt 3.03
Ac: 0.0000 0.2707 0.5821 (multiplicity 8)  5 Pt 3.11-3.12
Ac: 0.0000 0.4611 0.1560 (multiplicity 8)  3 Pt 2.99-3.05
Tl: 0.0000 0.1588 0.7500 (multiplicity 4)  6 Ac 3.43-3.54
Pt: 0.0000 0.0946 0.1245 (multiplicity 8)  6 Ac 3.03-3.15
Pt: 0.0000 0.3631 0.0409 (multiplicity 8)  6 Ac 2.99-3.14

Calculated values
Uncorrected energy in eV per atom: -5.60
Magnetic moment in μB/cell: 0.0
Crystal system: orthorhombic
Fermi-level density of states in states/eV/cell: 24.22

=====

> Which of these has the lowest Fermi-level density of states?

LiNiSe2Br

=====

> Number 2 is which compound?

LiNiSe2Br

=====

> Which of these has the lowest Fermi-level density of states?

LiNiSe2Br

=====

> Which value of magnetic moment does entry 2 give?

1.8 μB/cell